No. 1
DFT (PBE-GGA) results for a geometry-optimized Dy8GeTe3As3 structure.

Computed properties:
The total energy comes out at -5.596 eV/atom. The size of the total moment comes out at 0.00 μB/cell.

abc: 8.3588 8.3590 8.4973
angles: 119.46 90.00 120.00
Element x y z (fractional)
Dy: 0.2607 0.5214 0.2821
Dy: 0.7393 0.4786 0.7179
Dy: 0.7584 0.5167 0.2766
Dy: 0.2416 0.4833 0.7234
Dy: 0.7584 0.0183 0.2767
Dy: 0.2416 0.9817 0.7233
Dy: 0.2599 0.0183 0.2767
Dy: 0.7401 0.9817 0.7233
Ge: 0.0000 0.0000 0.5000
Te: 0.0000 0.0000 0.0000
Te: 0.0000 0.5000 0.0000
Te: 0.5000 0.5000 0.0000
As: 0.5000 0.0000 0.5000
As: 0.5000 0.5000 0.5000
As: 0.0000 0.5000 0.5000

***

No. 2
DFT (PBE-GGA) results for a geometry-optimized Dy8Ge3Te4As structure.

Computed properties:
The total energy comes out at -5.522 eV/atom. The size of the total moment comes out at 0.00 μB/cell.

abc: 8.4628 8.5993 8.4627
angles: 119.48 120.00 90.00
Element x y z (fractional)
Dy: 0.2412 0.7194 0.9782
Dy: 0.2413 0.7194 0.4825
Dy: 0.2597 0.2791 0.5194
Dy: 0.7369 0.7194 0.9782
Dy: 0.2631 0.2806 0.0218
Dy: 0.7403 0.7209 0.4806
Dy: 0.7587 0.2806 0.5175
Dy: 0.7588 0.2806 0.0218
Ge: 0.5000 0.5000 0.0000
Ge: 0.5000 0.5000 0.5000
Ge: 0.0000 0.5000 0.5000
Te: 0.5000 0.0000 0.0000
Te: 0.5000 0.0000 0.5000
Te: 0.0000 0.0000 0.0000
Te: 0.0000 0.0000 0.5000
As: 0.0000 0.5000 0.0000

***

No. 3
DFT (PBE-GGA) results for a geometry-optimized Dy6Ge2TeAs3 structure.

Computed properties:
The total energy comes out at -5.751 eV/atom. The size of the total moment comes out at 0.00 μB/cell.

abc: 4.1103 8.4524 9.3526
angles: 103.41 102.69 90.00
Element x y z (fractional)
Dy: 0.3269 0.9144 0.6539
Dy: 0.6671 0.5868 0.3341
Dy: 0.6731 0.0856 0.3461
Dy: 0.0016 0.2684 0.0032
Dy: 0.9984 0.7316 0.9968
Dy: 0.3329 0.4132 0.6659
Ge: 0.8333 0.6666 0.6665
Ge: 0.1667 0.3334 0.3335
Te: 0.5000 0.0000 0.0000
As: 0.5000 0.5000 0.0000
As: 0.8366 0.1664 0.6732
As: 0.1634 0.8336 0.3268

***

No. 4
DFT (PBE-GGA) results for a geometry-optimized DyThGeAs structure.

Computed properties:
The value obtained for the formation energy is -1.127 eV per atom. The total energy comes out at -6.450 eV/atom. The size of the total moment comes out at 0.00 μB/cell.

abc: 4.2306 4.2306 7.2538
angles: 73.05 73.05 60.00
Element x y z (fractional)
Dy: 0.4446 0.4446 0.6661
Th: 0.9431 0.9431 0.1708
Ge: 0.1922 0.1922 0.4234
As: 0.6965 0.6965 0.9105

***

No. 5
DFT (PBE-GGA) results for a geometry-optimized Dy2AsH structure.

Computed properties:
The total energy comes out at -5.035 eV/atom. The calculation puts the offset from the most stable computed form at 18.84 kJ per mole of atoms. The size of the total moment comes out at 0.00 μB/cell.

abc: 3.8879 3.8879 7.3514
angles: 74.67 74.67 60.00
Element x y z (fractional)
Dy: 0.0982 0.0982 0.7055
Dy: 0.2697 0.2697 0.1910
As: 0.6797 0.6797 0.9609
H: 0.4525 0.4525 0.6426

***

No. 6
DFT (PBE-GGA) results for a geometry-optimized Dy3As2H structure.

Computed properties:
The total energy comes out at -5.444 eV/atom. The size of the total moment comes out at 0.00 μB/cell.

abc: 5.6830 8.1177 6.8368
angles: 107.25 114.56 90.00
Element x y z (fractional)
Dy: 0.4655 0.2500 0.0000
Dy: 0.5345 0.7500 0.0000
Dy: 0.1652 0.0832 0.3324
Dy: 0.8328 0.4168 0.6676
Dy: 0.1672 0.5832 0.3324
Dy: 0.8348 0.9168 0.6676
As: 0.6699 0.5845 0.3377
As: 0.6678 0.0845 0.3377
As: 0.3322 0.9155 0.6623
As: 0.3301 0.4155 0.6623
H: 0.9537 0.7500 0.0000
H: 0.0463 0.2500 0.0000

***

No. 7
DFT (PBE-GGA) results for a geometry-optimized Dy2AsH structure.

Computed properties:
The total energy comes out at -5.230 eV/atom. The calculation puts the offset from the most stable computed form at 0.00 kJ per mole of atoms. The size of the total moment comes out at 0.59 μB/cell.

abc: 3.9454 3.9454 6.3477
angles: 90.01 90.01 60.00
Element x y z (fractional)
Dy: 0.1760 0.6211 0.5079
Dy: 0.5095 0.9545 0.0445
As: 0.8427 0.2878 0.7724
H: 0.1763 0.6212 0.1536

***

No. 8
DFT (PBE-GGA) results for a geometry-optimized Dy12As3H5 structure.

Computed properties:
The total energy comes out at -4.820 eV/atom. The size of the total moment comes out at 0.00 μB/cell.

abc: 13.1141 13.1141 13.1141
angles: 109.47 109.47 109.47
Element x y z (fractional)
H: 0.1250 0.3750 0.2500
H: 0.0000 0.5000 0.0000
H: 0.0000 0.0000 0.0000
H: 0.3750 0.2500 0.1250
H: 0.5000 0.0000 0.5000
H: 0.5000 0.5000 0.0000
H: 0.1250 0.7500 0.3750
H: 0.7500 0.1250 0.8750
H: 0.7500 0.6250 0.3750
H: 0.3750 0.1250 0.7500
H: 0.6250 0.8750 0.2500
H: 0.5000 0.5000 0.5000
H: 0.5000 0.0000 0.0000
H: 0.0000 0.0000 0.5000
H: 0.2500 0.3750 0.6250
H: 0.2500 0.8750 0.1250
H: 0.0000 0.5000 0.5000
H: 0.8750 0.2500 0.6250
H: 0.6250 0.7500 0.8750
H: 0.8750 0.6250 0.7500
As: 0.7500 0.3750 0.1250
As: 0.8750 0.7500 0.1250
As: 0.3750 0.7500 0.6250
As: 0.2500 0.1250 0.3750
As: 0.8750 0.1250 0.2500
As: 0.3750 0.6250 0.2500
As: 0.6250 0.3750 0.7500
As: 0.1250 0.8750 0.7500
As: 0.7500 0.8750 0.6250
As: 0.6250 0.2500 0.3750
As: 0.1250 0.2500 0.8750
As: 0.2500 0.6250 0.8750
Dy: 0.7130 0.1159 0.0212
Dy: 0.3081 0.5212 0.4053
Dy: 0.9788 0.3841 0.2870
Dy: 0.5212 0.2130 0.1159
Dy: 0.5972 0.7130 0.6919
Dy: 0.9788 0.5947 0.1919
Dy: 0.3081 0.7870 0.4028
Dy: 0.0947 0.9028 0.1159
Dy: 0.5947 0.9788 0.6919
Dy: 0.7130 0.5972 0.1919
Dy: 0.7870 0.4788 0.3841
Dy: 0.8081 0.9053 0.0212
Dy: 0.1159 0.7130 0.5212
Dy: 0.3841 0.4053 0.0972
Dy: 0.0972 0.9053 0.3841
Dy: 0.4028 0.1159 0.5947
Dy: 0.0972 0.1919 0.2130
Dy: 0.4788 0.6919 0.0947
Dy: 0.8081 0.9028 0.2870
Dy: 0.1159 0.4028 0.0947
Dy: 0.3841 0.9788 0.7870
Dy: 0.5947 0.6159 0.4028
Dy: 0.9053 0.8081 0.5212
Dy: 0.7870 0.3081 0.9028
Dy: 0.4053 0.3841 0.5972
Dy: 0.0947 0.1919 0.4788
Dy: 0.2130 0.6919 0.0972
Dy: 0.1919 0.0972 0.7130
Dy: 0.6159 0.0212 0.2130
Dy: 0.8841 0.5972 0.9053
Dy: 0.5212 0.3081 0.9053
Dy: 0.5972 0.8841 0.4053
Dy: 0.9028 0.8081 0.7870
Dy: 0.9028 0.0947 0.6159
Dy: 0.8841 0.2870 0.4788
Dy: 0.1919 0.0947 0.9788
Dy: 0.6159 0.5947 0.9028
Dy: 0.4053 0.0212 0.3081
Dy: 0.2870 0.4028 0.8081
Dy: 0.2130 0.5212 0.6159
Dy: 0.9053 0.0972 0.8841
Dy: 0.6919 0.2130 0.5972
Dy: 0.4788 0.7870 0.8841
Dy: 0.0212 0.4053 0.8081
Dy: 0.4028 0.2870 0.3081
Dy: 0.0212 0.6159 0.7130
Dy: 0.6919 0.4788 0.5947
Dy: 0.2870 0.8841 0.9788